Model i:
# TlCdRh

Crystalline TlCdRh at its relaxed geometry (GGA-PBE, Alexandria via LeMat-Bulk).

Unit cell a=6.5196 b=6.5196 c=6.5196 alpha=151.82 beta=151.82 gamma=40.27
With the nearest neighbours (Å) after each atom.
Element x y z (fractional)
1 Tl 0.0000 0.0000 0.0000  4 Rh 2.88, 4 Tl 3.17
2 Cd 0.2872 0.2872 0.0000  4 Rh 2.82
3 Rh 0.6477 0.6477 0.0000  4 Cd 2.82, 4 Tl 2.88

Calculated values
**Total magnetization**: 0.000 μB/cell



Model ii:
# TlCdRh

Crystalline TlCdRh at its relaxed geometry (GGA-PBE, Alexandria via LeMat-Bulk).

Unit cell a=4.5660 b=4.5660 c=4.5660 alpha=60.00 beta=60.00 gamma=60.00
With the nearest neighbours (Å) after each atom.
Element x y z (fractional)
1 Tl 0.0000 0.0000 0.0000  4 Rh 2.80
2 Cd 0.5000 0.5000 0.5000  4 Rh 2.80
3 Rh 0.2500 0.2500 0.2500  4 Cd 2.80, 4 Tl 2.80

Calculated values
**Total magnetization**: 0.000 μB/cell



Of them, model i has the lowest stability.



Model i:
# TlCdRh

Crystalline TlCdRh at its relaxed geometry (GGA-PBE, Alexandria via LeMat-Bulk).

Unit cell a=9.1835 b=4.5792 c=6.4121 alpha=90.00 beta=90.00 gamma=90.00
With the nearest neighbours (Å) after each atom.
Element x y z (fractional)
1 Tl 0.1374 0.2500 0.0092  4 Rh 2.74-2.80
2 Tl 0.3626 0.7500 0.5092  4 Rh 2.74-2.80
3 Tl 0.6374 0.2500 0.4908  4 Rh 2.74-2.80
4 Tl 0.8626 0.7500 0.9908  4 Rh 2.74-2.80
5 Cd 0.1133 0.2500 0.5086  4 Rh 2.80-2.88, 2 Cd 3.10
6 Cd 0.3867 0.7500 0.0086  4 Rh 2.80-2.88, 2 Cd 3.10
7 Cd 0.6133 0.2500 0.9914  4 Rh 2.80-2.88, 2 Cd 3.10
8 Cd 0.8867 0.7500 0.4914  4 Rh 2.80-2.88, 2 Cd 3.10
9 Rh 0.1234 0.7500 0.7655  4 Tl 2.74-2.80, 4 Cd 2.80-2.88
10 Rh 0.3766 0.2500 0.2655  4 Tl 2.74-2.80, 4 Cd 2.80-2.88
11 Rh 0.6234 0.7500 0.7345  4 Tl 2.74-2.80, 4 Cd 2.80-2.88
12 Rh 0.8766 0.2500 0.2345  4 Tl 2.74-2.80, 4 Cd 2.80-2.88

Calculated values
**Total magnetization**: 0.000 μB/cell



Model ii:
# TlCdRh

Crystalline TlCdRh at its relaxed geometry (GGA-PBE, Alexandria via LeMat-Bulk).

Unit cell a=5.5994 b=5.5994 c=5.5994 alpha=113.76 beta=107.59 gamma=107.15
With the nearest neighbours (Å) after each atom.
Element x y z (fractional)
1 Tl 0.2486 0.2500 0.4986  4 Rh 2.80, 2 Cd 3.06
2 Tl 0.7514 0.7500 0.5014  4 Rh 2.80, 2 Cd 3.06
3 Cd 0.2540 0.7527 0.0013  4 Rh 2.80, 2 Tl 3.06
4 Cd 0.7513 0.2527 0.9987  4 Rh 2.80, 2 Tl 3.06
5 Rh 0.2514 0.2514 0.0000  4 Tl 2.80, 4 Cd 2.80, 2 Rh 3.06
6 Rh 0.2514 0.7514 0.5000  4 Tl 2.80, 4 Cd 2.80, 2 Rh 3.06

Calculated values
**Total magnetization**: 0.000 μB/cell



Model iii:
# TlCdRh

Crystalline TlCdRh at its relaxed geometry (GGA-PBE, Alexandria via LeMat-Bulk).

Unit cell a=4.6445 b=4.6445 c=3.1964 alpha=90.00 beta=90.00 gamma=120.00
With the nearest neighbours (Å) after each atom.
Element x y z (fractional)
1 Tl 0.0000 0.0000 0.0000  3 Rh 2.73, 3 Cd 3.00
2 Cd 0.6667 0.3333 0.4225  6 Rh 2.99-3.28, 6 Tl 3.00-3.26, 2 Cd 3.20
3 Rh 0.3333 0.6667 0.8339  3 Tl 2.73, 3 Cd 2.99

Calculated values
**Total magnetization**: 0.000 μB/cell



Of them, model iii has the lowest stability.



Model i:
# TlCd2Rh

Crystalline TlCd2Rh at its relaxed geometry (GGA-PBE, Alexandria via LeMat-Bulk).

Unit cell a=5.0193 b=5.0193 c=3.4058 alpha=90.00 beta=90.00 gamma=109.09
With the nearest neighbours (Å) after each atom.
Element x y z (fractional)
1 Tl 0.0000 0.0000 0.0000  2 Rh 2.91, 8 Cd 3.03
2 Cd 0.0000 0.5000 0.5000  2 Cd 2.91, 4 Tl 3.03, 4 Rh 3.03
3 Cd 0.5000 0.0000 0.5000  2 Cd 2.91, 4 Tl 3.03, 4 Rh 3.03
4 Rh 0.5000 0.5000 0.0000  2 Tl 2.91, 8 Cd 3.03

Calculated values
**Total magnetization**: 0.000 μB/cell



Model ii:
# TlCd2Rh

Crystalline TlCd2Rh at its relaxed geometry (GGA-PBE, Alexandria via LeMat-Bulk).

Unit cell a=6.8132 b=6.8132 c=6.8132 alpha=154.12 beta=140.31 gamma=48.00
With the nearest neighbours (Å) after each atom.
Element x y z (fractional)
1 Tl 0.0000 0.0000 0.0000  4 Rh 2.77, 2 Tl 3.05
2 Cd 0.3071 0.8071 0.5000  2 Rh 2.84, 6 Cd 3.05-3.11
3 Cd 0.6929 0.1929 0.5000  2 Rh 2.84, 6 Cd 3.05-3.11
4 Rh 0.5000 0.5000 0.0000  4 Tl 2.77, 4 Cd 2.84, 2 Rh 3.05

Calculated values
**Total magnetization**: 0.000 μB/cell



Model iii:
# TlCd2Rh

Crystalline TlCd2Rh at its relaxed geometry (GGA-PBE, Alexandria via LeMat-Bulk).

Unit cell a=3.3712 b=3.9048 c=6.1353 alpha=90.00 beta=90.00 gamma=90.00
With the nearest neighbours (Å) after each atom.
Element x y z (fractional)
1 Tl 0.0000 0.0000 0.0000  5 Cd 2.85-3.12, 4 Rh 2.96
2 Cd 0.0000 0.0000 0.5356  1 Tl 2.85, 4 Rh 2.93, 4 Cd 3.00
3 Cd 0.5000 0.5000 0.2863  2 Rh 2.93-3.21, 4 Cd 3.00, 4 Tl 3.12
4 Rh 0.5000 0.5000 0.7638  6 Cd 2.93-3.21, 4 Tl 2.96

Calculated values
**Total magnetization**: 0.000 μB/cell



Of them, model i has the lowest stability.



Model i:
# Tl2Cd2Rh

Crystalline Tl2Cd2Rh at its relaxed geometry (GGA-PBE, Alexandria via LeMat-Bulk).

Unit cell a=7.0653 b=7.0653 c=5.0365 alpha=90.00 beta=90.00 gamma=90.00
With the nearest neighbours (Å) after each atom.
Element x y z (fractional)
1 Tl 0.1804 0.3196 0.0000  2 Cd 3.05
2 Tl 0.3196 0.8196 0.0000  2 Cd 3.05
3 Tl 0.6804 0.1804 0.0000  2 Cd 3.05
4 Tl 0.8196 0.6804 0.0000  2 Cd 3.05
5 Cd 0.1467 0.6467 0.5000  2 Rh 2.70, 1 Cd 2.93
6 Cd 0.3533 0.1467 0.5000  2 Rh 2.70, 1 Cd 2.93
7 Cd 0.6467 0.8533 0.5000  2 Rh 2.70, 1 Cd 2.93
8 Cd 0.8533 0.3533 0.5000  2 Rh 2.70, 1 Cd 2.93
9 Rh 0.0000 0.0000 0.5000  4 Cd 2.70
10 Rh 0.5000 0.5000 0.5000  4 Cd 2.70

Calculated values
**Total magnetization**: 0.000 μB/cell



Model ii:
# Tl2Cd2Rh

Crystalline Tl2Cd2Rh at its relaxed geometry (GGA-PBE, Alexandria via LeMat-Bulk).

Unit cell a=8.1685 b=8.1685 c=8.1685 alpha=151.11 beta=151.11 gamma=41.32
With the nearest neighbours (Å) after each atom.
Element x y z (fractional)
1 Tl 0.2500 0.7500 0.5000  4 Tl 2.88, 4 Cd 3.22
2 Tl 0.7500 0.2500 0.5000  4 Tl 2.88, 4 Cd 3.22
3 Cd 0.0869 0.0869 0.0000  1 Cd 2.66
4 Cd 0.9131 0.9131 0.0000  1 Cd 2.66
5 Rh 0.5000 0.5000 0.0000  8 Cd 3.17

Calculated values
**Total magnetization**: 0.000 μB/cell



Of them, model ii has the lowest stability.



Model i:
# Tl2CdRh

Crystalline Tl2CdRh at its relaxed geometry (GGA-PBE, Alexandria via LeMat-Bulk).

Unit cell a=5.0941 b=5.0941 c=3.3507 alpha=90.00 beta=90.00 gamma=90.00
With the nearest neighbours (Å) after each atom.
Element x y z (fractional)
1 Tl 0.0000 0.5000 0.0000  4 Cd 3.05, 4 Rh 3.05, 2 Tl 3.35
2 Tl 0.5000 0.0000 0.0000  4 Cd 3.05, 4 Rh 3.05, 2 Tl 3.35
3 Cd 0.0000 0.0000 0.5000  8 Tl 3.05, 2 Cd 3.35
4 Rh 0.5000 0.5000 0.5000  8 Tl 3.05, 2 Rh 3.35

Calculated values
**Total magnetization**: 0.000 μB/cell



Model ii:
# Tl2CdRh

Crystalline Tl2CdRh at its relaxed geometry (GGA-PBE, Alexandria via LeMat-Bulk).

Unit cell a=3.2480 b=3.2480 c=8.7333 alpha=90.00 beta=90.00 gamma=90.00
With the nearest neighbours (Å) after each atom.
Element x y z (fractional)
1 Tl 0.0000 0.0000 0.0000  4 Rh 2.89
2 Tl 0.5000 0.5000 0.3158  8 Tl 3.25-3.59, 4 Cd 3.44
3 Cd 0.0000 0.0000 0.6093  4 Rh 2.83
4 Rh 0.5000 0.5000 0.7989  4 Cd 2.83, 4 Tl 2.89

Calculated values
**Total magnetization**: 0.000 μB/cell



Of them, model i has the lowest stability.



Model i:
# Tl2CdRh

Crystalline Tl2CdRh at its relaxed geometry (GGA-PBE, Alexandria via LeMat-Bulk).

Unit cell a=5.8169 b=5.8169 c=3.3897 alpha=106.38 beta=106.38 gamma=114.85
With the nearest neighbours (Å) after each atom.
Element x y z (fractional)
1 Tl 0.0000 0.5000 0.0000  2 Cd 2.92, 2 Rh 2.92, 4 Tl 3.13-3.19
2 Tl 0.5000 0.0000 0.0000  2 Cd 2.92, 2 Rh 2.92, 4 Tl 3.13-3.19
3 Cd 0.0000 0.0000 0.5000  4 Tl 2.92, 4 Rh 3.13-3.19
4 Rh 0.5000 0.5000 0.5000  4 Tl 2.92, 4 Cd 3.13-3.19

Calculated values
**Total magnetization**: 0.000 μB/cell



Model ii:
# Tl2CdRh

Crystalline Tl2CdRh at its relaxed geometry (GGA-PBE, Alexandria via LeMat-Bulk).

Unit cell a=7.7517 b=7.7517 c=7.7517 alpha=96.80 beta=96.80 gamma=139.73
With the nearest neighbours (Å) after each atom.
Element x y z (fractional)
1 Tl 0.3750 0.1263 0.2513  2 Rh 2.66
2 Tl 0.8737 0.1250 0.2487  2 Rh 2.66
3 Tl 0.8750 0.1237 0.7487  2 Rh 2.66
4 Tl 0.8763 0.6250 0.7513  2 Rh 2.66
5 Cd 0.2500 0.7500 0.5000  2 Rh 2.67
6 Cd 0.5000 0.5000 0.0000  2 Rh 2.67
7 Rh 0.0000 0.0000 0.0000  4 Tl 2.66, 2 Cd 2.67
8 Rh 0.7500 0.2500 0.5000  4 Tl 2.66, 2 Cd 2.67

Calculated values
**Total magnetization**: 0.000 μB/cell



Model iii:
# Tl2CdRh

Crystalline Tl2CdRh at its relaxed geometry (GGA-PBE, Alexandria via LeMat-Bulk).

Unit cell a=3.1432 b=3.2100 c=9.2752 alpha=90.00 beta=91.06 gamma=90.00
With the nearest neighbours (Å) after each atom.
Element x y z (fractional)
1 Tl 0.0121 0.0000 0.1986  4 Rh 2.90-2.91, 4 Tl 3.14-3.21, 2 Cd 3.22
2 Tl 0.9879 0.0000 0.8014  4 Rh 2.90-2.91, 4 Tl 3.14-3.21, 2 Cd 3.22
3 Cd 0.0000 0.5000 0.5000  4 Cd 3.14-3.21, 4 Tl 3.22
4 Rh 0.5000 0.5000 0.0000  8 Tl 2.90-2.91, 4 Rh 3.14-3.21

Calculated values
**Total magnetization**: 0.000 μB/cell



Model iv:
# Tl2CdRh

Crystalline Tl2CdRh at its relaxed geometry (GGA-PBE, Alexandria via LeMat-Bulk).

Unit cell a=3.3463 b=4.8047 c=5.4743 alpha=90.00 beta=90.00 gamma=90.00
With the nearest neighbours (Å) after each atom.
Element x y z (fractional)
1 Tl 0.0000 0.0000 0.0000  4 Rh 2.93, 4 Tl 3.21
2 Tl 0.5000 0.0000 0.5000  4 Cd 2.93, 4 Tl 3.21
3 Cd 0.0000 0.5000 0.5000  4 Tl 2.93, 4 Rh 3.21
4 Rh 0.5000 0.5000 0.0000  4 Tl 2.93, 4 Cd 3.21

Calculated values
**Total magnetization**: 0.000 μB/cell



Of them, model i has the lowest stability.



Model i:
# Tl2CdRh

Crystalline Tl2CdRh at its relaxed geometry (GGA-PBE, Alexandria via LeMat-Bulk).

Unit cell a=5.4799 b=5.4799 c=5.4799 alpha=133.45 beta=133.45 gamma=67.95
With the nearest neighbours (Å) after each atom.
Element x y z (fractional)
1 Tl 0.0000 0.0000 0.0000  4 Rh 3.06, 4 Cd 3.14, 4 Tl 3.14
2 Tl 0.7500 0.2500 0.5000  4 Cd 3.06, 4 Rh 3.14, 4 Tl 3.14
3 Cd 0.2500 0.7500 0.5000  8 Tl 3.06-3.14, 4 Rh 3.14
4 Rh 0.5000 0.5000 0.0000  8 Tl 3.06-3.14, 4 Cd 3.14

Calculated values
**Total magnetization**: 0.000 μB/cell



Model ii:
# Tl2CdRh

Crystalline Tl2CdRh at its relaxed geometry (GGA-PBE, Alexandria via LeMat-Bulk).

Unit cell a=3.2024 b=3.2024 c=9.0039 alpha=90.00 beta=90.00 gamma=90.00
With the nearest neighbours (Å) after each atom.
Element x y z (fractional)
1 Tl 0.0000 0.0000 0.2033  4 Rh 2.91, 4 Tl 3.20
2 Tl 0.0000 0.0000 0.7967  4 Rh 2.91, 4 Tl 3.20
3 Cd 0.5000 0.5000 0.5000  4 Cd 3.20, 8 Tl 3.50
4 Rh 0.5000 0.5000 0.0000  8 Tl 2.91, 4 Rh 3.20

Calculated values
**Total magnetization**: 0.000 μB/cell



Of them, model i has the lowest stability.



Model i:
# Tl2CdRh

Crystalline Tl2CdRh at its relaxed geometry (GGA-PBE, Alexandria via LeMat-Bulk).

Unit cell a=5.3515 b=5.3515 c=5.3515 alpha=131.10 beta=131.10 gamma=71.66
With the nearest neighbours (Å) after each atom.
Element x y z (fractional)
1 Tl 0.2500 0.7500 0.5000  4 Rh 3.10, 4 Cd 3.10, 4 Tl 3.13
2 Tl 0.7500 0.2500 0.5000  4 Rh 3.10, 4 Cd 3.10, 4 Tl 3.13
3 Cd 0.0000 0.0000 0.0000  8 Tl 3.10, 4 Rh 3.13
4 Rh 0.5000 0.5000 0.0000  8 Tl 3.10, 4 Cd 3.13

Calculated values
**Total magnetization**: 0.000 μB/cell



Model ii:
# Tl2CdRh

Crystalline Tl2CdRh at its relaxed geometry (GGA-PBE, Alexandria via LeMat-Bulk).

Unit cell a=7.1133 b=7.1133 c=4.6416 alpha=108.98 beta=108.98 gamma=25.35
With the nearest neighbours (Å) after each atom.
Element x y z (fractional)
1 Tl 0.0000 0.0000 0.0000  4 Rh 2.80, 2 Tl 3.12
2 Tl 0.1942 0.1942 0.6944  2 Rh 2.97, 2 Tl 3.12, 4 Cd 3.25
3 Cd 0.8203 0.8203 0.3201  2 Rh 2.83, 2 Cd 3.12
4 Rh 0.5007 0.5007 0.5008  6 Tl 2.80-2.97, 2 Cd 2.83, 2 Rh 3.12

Calculated values
**Total magnetization**: 0.000 μB/cell



Model iii:
# Tl2CdRh

Crystalline Tl2CdRh at its relaxed geometry (GGA-PBE, Alexandria via LeMat-Bulk).

Unit cell a=4.9599 b=4.9599 c=4.9599 alpha=60.00 beta=60.00 gamma=60.00
With the nearest neighbours (Å) after each atom.
Element x y z (fractional)
1 Tl 0.2500 0.2500 0.2500  4 Cd 3.04, 4 Rh 3.04
2 Tl 0.7500 0.7500 0.7500  4 Cd 3.04, 4 Rh 3.04
3 Cd 0.0000 0.0000 0.0000  8 Tl 3.04
4 Rh 0.5000 0.5000 0.5000  8 Tl 3.04

Calculated values
**Total magnetization**: 0.000 μB/cell



Of them, model iii has the lowest stability.



Model i:
# Tl2CdRh

Crystalline Tl2CdRh at its relaxed geometry (GGA-PBE, Alexandria via LeMat-Bulk).

Unit cell a=4.5226 b=3.1377 c=7.3199 alpha=90.00 beta=107.93 gamma=90.00
With the nearest neighbours (Å) after each atom.
Element x y z (fractional)
1 Tl 0.0000 0.0000 0.0000  4 Rh 2.76
2 Tl 0.3092 0.5000 0.6212  1 Rh 2.80, 2 Tl 3.14
3 Cd 0.6790 0.0000 0.3586  2 Rh 2.81, 2 Cd 3.14
4 Rh 0.5119 0.5000 0.0237  5 Tl 2.76-2.80, 2 Cd 2.81

Calculated values
**Total magnetization**: 0.000 μB/cell



Model ii:
# Tl2CdRh

Crystalline Tl2CdRh at its relaxed geometry (GGA-PBE, Alexandria via LeMat-Bulk).

Unit cell a=7.3912 b=7.3912 c=7.3912 alpha=155.51 beta=143.60 gamma=44.36
With the nearest neighbours (Å) after each atom.
Element x y z (fractional)
1 Tl 0.1753 0.1753 0.0000  2 Rh 2.87, 2 Tl 3.13
2 Tl 0.8247 0.8247 0.0000  2 Rh 2.87, 2 Tl 3.13
3 Cd 0.5000 0.0000 0.5000  4 Rh 2.79
4 Rh 0.0000 0.5000 0.5000  4 Cd 2.79, 4 Tl 2.87

Calculated values
**Total magnetization**: 0.000 μB/cell



Of them, model i has the lowest stability.



Model i:
# Tl2CdRh

Crystalline Tl2CdRh at its relaxed geometry (GGA-PBE, Alexandria via LeMat-Bulk).

Unit cell a=9.6511 b=9.6511 c=9.6511 alpha=20.20 beta=20.20 gamma=20.20
With the nearest neighbours (Å) after each atom.
Element x y z (fractional)
1 Tl 0.0000 0.0000 0.0000  3 Rh 2.78
2 Tl 0.2334 0.2334 0.2334  3 Cd 3.32, 9 Tl 3.38-3.44
3 Cd 0.4720 0.4720 0.4720  3 Rh 2.77
4 Rh 0.7363 0.7363 0.7363  3 Cd 2.77, 3 Tl 2.78

Calculated values
**Total magnetization**: 0.000 μB/cell



Model ii:
# Tl2CdRh

Crystalline Tl2CdRh at its relaxed geometry (GGA-PBE, Alexandria via LeMat-Bulk).

Unit cell a=5.0035 b=5.0035 c=5.0035 alpha=60.00 beta=60.00 gamma=60.00
With the nearest neighbours (Å) after each atom.
Element x y z (fractional)
1 Tl 0.0000 0.0000 0.0000  4 Tl 3.06, 4 Rh 3.06
2 Tl 0.2500 0.2500 0.2500  4 Cd 3.06, 4 Tl 3.06
3 Cd 0.5000 0.5000 0.5000  4 Rh 3.06, 4 Tl 3.06
4 Rh 0.7500 0.7500 0.7500  4 Cd 3.06, 4 Tl 3.06

Calculated values
**Total magnetization**: 0.000 μB/cell



Of them, model ii has the lowest stability.



Model i:
# Tl2CdRh

Crystalline Tl2CdRh at its relaxed geometry (GGA-PBE, Alexandria via LeMat-Bulk).

Unit cell a=9.3085 b=9.3085 c=9.3085 alpha=21.19 beta=21.19 gamma=21.19
With the nearest neighbours (Å) after each atom.
Element x y z (fractional)
1 Tl 0.2396 0.2396 0.2396  3 Rh 2.81
2 Tl 0.7604 0.7604 0.7604  3 Rh 2.81
3 Cd 0.0000 0.0000 0.0000  6 Tl 3.23, 6 Cd 3.42
4 Rh 0.5000 0.5000 0.5000  6 Tl 2.81

Calculated values
**Total magnetization**: 0.000 μB/cell



Model ii:
# Tl2CdRh

Crystalline Tl2CdRh at its relaxed geometry (GGA-PBE, Alexandria via LeMat-Bulk).

Unit cell a=5.0787 b=5.0787 c=3.3990 alpha=90.00 beta=90.00 gamma=98.78
With the nearest neighbours (Å) after each atom.
Element x y z (fractional)
1 Tl 0.0000 0.5000 0.0000  4 Rh 3.06, 4 Cd 3.06, 4 Tl 3.31-3.40
2 Tl 0.5000 0.0000 0.0000  4 Rh 3.06, 4 Cd 3.06, 4 Tl 3.31-3.40
3 Cd 0.0000 0.0000 0.5000  8 Tl 3.06, 2 Rh 3.31, 2 Cd 3.40
4 Rh 0.5000 0.5000 0.5000  8 Tl 3.06, 2 Cd 3.31, 2 Rh 3.40

Calculated values
**Total magnetization**: 0.000 μB/cell



Of them, model ii has the lowest stability.